No. 1
# meta-GGA SCAN LaBr2, PBEsol geometry
data_LaBr2
_chemical_formula_sum 'La4 Br8'
_space_group_name_H-M_alt 'C 1 m 1'
_space_group_IT_number 8
_space_group_name_Hall 'C -2y'
_cell_length_a 14.485
_cell_length_b 3.969
_cell_length_c 8.019
_cell_angle_alpha 90.00
_cell_angle_beta 122.75
_cell_angle_gamma 90.00
loop_
_atom_site_label
_atom_site_type_symbol
_atom_site_fract_x
_atom_site_fract_y
_atom_site_fract_z
La1 La 0.000 0.000 0.000
La2 La 0.154 0.500 0.530
Br1 Br 0.081 0.500 0.826
Br2 Br 0.229 0.000 0.344
Br3 Br 0.313 0.000 0.849
Br4 Br 0.471 0.500 0.339
# * raw formation energy: -1974 meV/atom
# * total energy: -29.3152 eV/atom

No. 2
# meta-GGA SCAN K17Au12, PBEsol geometry
data_K17Au12
_chemical_formula_sum 'K34 Au24'
_space_group_name_H-M_alt 'I -4 3 m'
_space_group_IT_number 217
_space_group_name_Hall 'I -4 2 3'
_cell_length_a 12.025
_cell_length_b 12.025
_cell_length_c 12.025
_cell_angle_alpha 90.00
_cell_angle_beta 90.00
_cell_angle_gamma 90.00
loop_
_atom_site_label
_atom_site_type_symbol
_atom_site_fract_x
_atom_site_fract_y
_atom_site_fract_z
K1 K 0.000 0.000 0.000
K2 K 0.070 0.369 0.369
K3 K 0.156 0.156 0.844
Au1 Au 0.109 0.109 0.275
# * energy relative to the elements: -0.269 eV/atom
# * total energy: -33.7681 eV/atom

No. 3
# meta-GGA SCAN Li2NiPb2, PBEsol geometry
data_Li2NiPb2
_chemical_formula_sum 'Li4 Ni2 Pb4'
_space_group_name_H-M_alt 'I 4/m m m'
_space_group_IT_number 139
_space_group_name_Hall '-I 4 2'
_cell_length_a 5.150
_cell_length_b 5.150
_cell_length_c 7.124
_cell_angle_alpha 90.00
_cell_angle_beta 90.00
_cell_angle_gamma 90.00
loop_
_atom_site_label
_atom_site_type_symbol
_atom_site_fract_x
_atom_site_fract_y
_atom_site_fract_z
Li1 Li 0.000 0.000 0.161
Ni1 Ni 0.000 0.000 0.500
Pb1 Pb 0.000 0.500 0.250
# * energy relative to the elements: 0.221 eV/atom
# * total energy: -34.2822 eV/atom

No. 4
# meta-GGA SCAN BaRhPb2, PBEsol geometry
data_BaRhPb2
_chemical_formula_sum 'Ba3 Rh3 Pb6'
_space_group_name_H-M_alt 'R 3 m'
_space_group_IT_number 160
_space_group_name_Hall 'R 3 -2"'
_cell_length_a 4.6513
_cell_length_b 4.6513
_cell_length_c 18.5298
_cell_angle_alpha 90.00
_cell_angle_beta 90.00
_cell_angle_gamma 120.00
loop_
_atom_site_label
_atom_site_type_symbol
_atom_site_fract_x
_atom_site_fract_y
_atom_site_fract_z
Ba1 Ba 0.0000 0.0000 0.0000
Rh1 Rh 0.0000 0.0000 0.8225
Pb1 Pb 0.0000 0.0000 0.2111
Pb2 Pb 0.0000 0.0000 0.4504
# * energy relative to the elements: -0.428 eV/atom
# * total energy: -56.6489 eV/atom

What did the third record say?
# meta-GGA SCAN Li2NiPb2, PBEsol geometry
data_Li2NiPb2
_chemical_formula_sum 'Li4 Ni2 Pb4'
_space_group_name_H-M_alt 'I 4/m m m'
_space_group_IT_number 139
_space_group_name_Hall '-I 4 2'
_cell_length_a 5.150
_cell_length_b 5.150
_cell_length_c 7.124
_cell_angle_alpha 90.00
_cell_angle_beta 90.00
_cell_angle_gamma 90.00
loop_
_atom_site_label
_atom_site_type_symbol
_atom_site_fract_x
_atom_site_fract_y
_atom_site_fract_z
Li1 Li 0.000 0.000 0.161
Ni1 Ni 0.000 0.000 0.500
Pb1 Pb 0.000 0.500 0.250
# * energy relative to the elements: 0.221 eV/atom
# * total energy: -34.2822 eV/atom